Record 1
{
  "formula": "Pr6GeTe3Se2",
  "functional": "PBE",
  "state": "relaxed",
  "cell": [[3.7872, -6.5546, 0.0000], [3.7872, 6.5546, 0.0000], [-2.5188, 0.0000, 7.3863]],
  "species": ["Pr", "Pr", "Pr", "Pr", "Pr", "Pr", "Ge", "Te", "Te", "Te", "Se", "Se"],
  "fractional_positions": [[0.0737, 0.4004, 0.2221], [0.2523, 0.2523, 0.7779], [0.4004, 0.0737, 0.2221], [0.5996, 0.9263, 0.7779], [0.7477, 0.7477, 0.2221], [0.9263, 0.5996, 0.7779], [0.0000, 0.0000, 0.0000], [0.1678, 0.8322, 0.5000], [0.5000, 0.5000, 0.5000], [0.8322, 0.1678, 0.5000], [0.3335, 0.6665, 0.0000], [0.6665, 0.3335, 0.0000]],
  "e_form_raw_kj_per_mol_atoms": -149
}

Record 2
{
  "formula": "CrCdOs2",
  "functional": "PBE",
  "state": "relaxed",
  "cell": [[2.7592, 0.0000, 0.0000], [-1.3796, 2.3896, 0.0000], [0.0000, 0.0000, 27.5029]],
  "species": ["Cr", "Cr", "Cr", "Cd", "Cd", "Cd", "Os", "Os", "Os", "Os", "Os", "Os"],
  "fractional_positions": [[0.0000, 0.0000, 0.0000], [0.3333, 0.6667, 0.6667], [0.6667, 0.3333, 0.3333], [0.0000, 0.0000, 0.7552], [0.3333, 0.6667, 0.4219], [0.6667, 0.3333, 0.0886], [0.0000, 0.0000, 0.2592], [0.0000, 0.0000, 0.5138], [0.3333, 0.6667, 0.1805], [0.3333, 0.6667, 0.9258], [0.6667, 0.3333, 0.5925], [0.6667, 0.3333, 0.8471]],
  "energy_ev_per_atom": -7.847
}

no.,total magnetization (μB/cell)
1,0.0
2,1.7